No. 1
# GGA-PBEsol Ni2PAu, optimized geometry
# * N(E_F): 2.559 states/eV/cell
# * total energy: -22.27 eV for the cell shown
data_Ni2PAu
_chemical_formula_sum 'Ni2 P1 Au1'
_cell_length_a 2.760
_cell_length_b 3.308
_cell_length_c 5.634
_cell_angle_alpha 90.00
_cell_angle_beta 90.00
_cell_angle_gamma 90.00
_space_group_name_H-M_alt 'P m m 2'
_space_group_IT_number 25
_space_group_name_Hall 'P 2 -2'
loop_
_atom_site_label
_atom_site_fract_x
_atom_site_fract_y
_atom_site_fract_z
_atom_site_occupancy
Ni1 0.000 0.000 0.000 1
Ni2 0.500 0.500 0.237 1
P1 0.000 0.000 0.385 1
Au1 0.500 0.500 0.733 1

---

No. 2
# GGA-PBEsol ScRh2W, optimized geometry
# * energy relative to the lowest polymorph listed for this composition: 0 meV/atom
# * N(E_F): 14.224 states/eV/cell
data_ScRh2W
_chemical_formula_sum 'Sc3 Rh6 W3'
_cell_length_a 2.8462
_cell_length_b 2.8462
_cell_length_c 26.2281
_cell_angle_alpha 90.00
_cell_angle_beta 90.00
_cell_angle_gamma 120.00
_space_group_name_H-M_alt 'R -3 m'
_space_group_IT_number 166
_space_group_name_Hall '-R 3 2"'
loop_
_atom_site_label
_atom_site_fract_x
_atom_site_fract_y
_atom_site_fract_z
_atom_site_occupancy
Sc1 0.0000 0.0000 0.0000 1
Rh1 0.0000 0.0000 0.2490 1
W1 0.0000 0.0000 0.5000 1

---

No. 3
# GGA-PBEsol HfPCl2O, optimized geometry
# * formation energy from raw total energies: -62 meV/atom
# * N(E_F): 4.042 states/eV/cell
data_HfPCl2O
_chemical_formula_sum 'Hf1 P1 Cl2 O1'
_cell_length_a 4.850
_cell_length_b 4.850
_cell_length_c 5.071
_cell_angle_alpha 90.00
_cell_angle_beta 90.00
_cell_angle_gamma 90.00
_space_group_name_H-M_alt 'P 4/m m m'
_space_group_IT_number 123
_space_group_name_Hall '-P 4 2'
loop_
_atom_site_label
_atom_site_fract_x
_atom_site_fract_y
_atom_site_fract_z
_atom_site_occupancy
Hf1 0.000 0.000 0.000 1
P1 0.000 0.000 0.500 1
Cl1 0.000 0.500 0.000 1
O1 0.500 0.500 0.500 1

---

No. 4
# GGA-PBEsol LaYAu, optimized geometry
# * N(E_F): 8.089 states/eV/cell
# * total energy: -35.22 eV for the cell shown
data_LaYAu
_chemical_formula_sum 'La2 Y2 Au2'
_cell_length_a 3.600
_cell_length_b 3.600
_cell_length_c 12.723
_cell_angle_alpha 90.00
_cell_angle_beta 90.00
_cell_angle_gamma 90.00
_space_group_name_H-M_alt 'I 4 m m'
_space_group_IT_number 107
_space_group_name_Hall 'I 4 -2'
loop_
_atom_site_label
_atom_site_fract_x
_atom_site_fract_y
_atom_site_fract_z
_atom_site_occupancy
La1 0.000 0.000 0.000 1
Y1 0.000 0.000 0.718 1
Au1 0.000 0.000 0.338 1

---

No. 5
# GGA-PBEsol Al2Co3Si3O12, optimized geometry
# * formation energy from raw total energies: -2147 meV/atom
data_Al2Co3Si3O12
_chemical_formula_sum 'Al16 Co24 Si24 O96'
_cell_length_a 11.416
_cell_length_b 11.416
_cell_length_c 11.416
_cell_angle_alpha 90.00
_cell_angle_beta 90.00
_cell_angle_gamma 90.00
_space_group_name_H-M_alt 'I a -3 d'
_space_group_IT_number 230
_space_group_name_Hall '-I 4bd 2c 3'
loop_
_atom_site_label
_atom_site_fract_x
_atom_site_fract_y
_atom_site_fract_z
_atom_site_occupancy
Al1 0.000 0.000 0.000 1
Co1 0.000 0.250 0.125 1
Si1 0.000 0.250 0.375 1
O1 0.033 0.053 0.653 1

---

No. 6
# GGA-PBEsol Na3Li3V2F12, optimized geometry
# * formation energy from raw total energies: -2895 meV/atom
# * N(E_F): 186.464 states/eV/cell
data_Na3Li3V2F12
_chemical_formula_sum 'Na24 Li24 V16 F96'
_cell_length_a 12.334
_cell_length_b 12.334
_cell_length_c 12.334
_cell_angle_alpha 90.00
_cell_angle_beta 90.00
_cell_angle_gamma 90.00
_space_group_name_H-M_alt 'I a -3 d'
_space_group_IT_number 230
_space_group_name_Hall '-I 4bd 2c 3'
loop_
_atom_site_label
_atom_site_fract_x
_atom_site_fract_y
_atom_site_fract_z
_atom_site_occupancy
Na1 0.000 0.250 0.125 1
Li1 0.000 0.250 0.375 1
V1 0.000 0.000 0.000 1
F1 0.030 0.050 0.646 1

---

No. 7
# GGA-PBEsol Mg2TlIn, optimized geometry
# * N(E_F): 1.652 states/eV/cell
# * total energy: -9.42 eV for the cell shown
data_Mg2TlIn
_chemical_formula_sum 'Mg2 Tl1 In1'
_cell_length_a 3.383
_cell_length_b 3.383
_cell_length_c 8.105
_cell_angle_alpha 90.00
_cell_angle_beta 90.00
_cell_angle_gamma 90.00
_space_group_name_H-M_alt 'P 4/m m m'
_space_group_IT_number 123
_space_group_name_Hall '-P 4 2'
loop_
_atom_site_label
_atom_site_fract_x
_atom_site_fract_y
_atom_site_fract_z
_atom_site_occupancy
Mg1 0.000 0.000 0.248 1
Tl1 0.500 0.500 0.500 1
In1 0.500 0.500 0.000 1

---

No. 8
# GGA-PBEsol RuPbI2N, optimized geometry
# * formation energy from raw total energies: 1664 meV/atom
# * N(E_F): 5.406 states/eV/cell
data_RuPbI2N
_chemical_formula_sum 'Ru1 Pb1 I2 N1'
_cell_length_a 6.042
_cell_length_b 6.042
_cell_length_c 4.007
_cell_angle_alpha 90.00
_cell_angle_beta 90.00
_cell_angle_gamma 90.00
_space_group_name_H-M_alt 'P 4/m m m'
_space_group_IT_number 123
_space_group_name_Hall '-P 4 2'
loop_
_atom_site_label
_atom_site_fract_x
_atom_site_fract_y
_atom_site_fract_z
_atom_site_occupancy
Ru1 0.000 0.000 0.000 1
Pb1 0.500 0.500 0.500 1
I1 0.000 0.500 0.500 1
N1 0.500 0.500 0.000 1

---

No. 9
# GGA-PBEsol KPbN2F, optimized geometry
# * formation energy from raw total energies: 1128 meV/atom
# * N(E_F): 2.271 states/eV/cell
data_KPbN2F
_chemical_formula_sum 'K1 Pb1 N2 F1'
_cell_length_a 4.775
_cell_length_b 4.775
_cell_length_c 4.501
_cell_angle_alpha 90.00
_cell_angle_beta 90.00
_cell_angle_gamma 90.00
_space_group_name_H-M_alt 'P 4/m m m'
_space_group_IT_number 123
_space_group_name_Hall '-P 4 2'
loop_
_atom_site_label
_atom_site_fract_x
_atom_site_fract_y
_atom_site_fract_z
_atom_site_occupancy
K1 0.000 0.000 0.000 1
Pb1 0.500 0.500 0.500 1
N1 0.000 0.500 0.000 1
F1 0.000 0.000 0.500 1

---

No. 10
# GGA-PBEsol Mn2GaCo4Ge, optimized geometry
# * N(E_F): 10.579 states/eV/cell
# * total energy: -182.19 eV for the cell shown
data_Mn2GaCo4Ge
_chemical_formula_sum 'Mn6 Ga3 Co12 Ge3'
_cell_length_a 3.9840
_cell_length_b 3.9840
_cell_length_c 19.5187
_cell_angle_alpha 90.00
_cell_angle_beta 90.00
_cell_angle_gamma 120.00
_space_group_name_H-M_alt 'R -3 m'
_space_group_IT_number 166
_space_group_name_Hall '-R 3 2"'
loop_
_atom_site_label
_atom_site_fract_x
_atom_site_fract_y
_atom_site_fract_z
_atom_site_occupancy
Mn1 0.0000 0.0000 0.2486 1
Ga1 0.0000 0.0000 0.5000 1
Co1 0.0000 0.0000 0.1237 1
Co2 0.0000 0.0000 0.3738 1
Ge1 0.0000 0.0000 0.0000 1

---

No. 11
# GGA-PBEsol YAg, optimized geometry
# * N(E_F): 1.090 states/eV/cell
# * total energy: -10.82 eV for the cell shown
data_YAg
_chemical_formula_sum 'Y1 Ag1'
_cell_length_a 3.580
_cell_length_b 3.580
_cell_length_c 3.580
_cell_angle_alpha 90.00
_cell_angle_beta 90.00
_cell_angle_gamma 90.00
_space_group_name_H-M_alt 'P m -3 m'
_space_group_IT_number 221
_space_group_name_Hall '-P 4 2 3'
loop_
_atom_site_label
_atom_site_fract_x
_atom_site_fract_y
_atom_site_fract_z
_atom_site_occupancy
Y1 0.000 0.000 0.000 1
Ag1 0.500 0.500 0.500 1

---

No. 12
# GGA-PBEsol Li2As, optimized geometry
# * energy relative to the lowest polymorph listed for this composition: 57 meV/atom
# * N(E_F): 0.333 states/eV/cell
data_Li2As
_chemical_formula_sum 'Li2 As1'
_cell_length_a 4.2635
_cell_length_b 4.2635
_cell_length_c 2.8700
_cell_angle_alpha 90.00
_cell_angle_beta 90.00
_cell_angle_gamma 120.00
_space_group_name_H-M_alt 'P -3 m 1'
_space_group_IT_number 164
_space_group_name_Hall '-P 3 2"'
loop_
_atom_site_label
_atom_site_fract_x
_atom_site_fract_y
_atom_site_fract_z
_atom_site_occupancy
Li1 0.3333 0.6667 0.3007 1
As1 0.0000 0.0000 0.0000 1

---

No. 13
# GGA-PBEsol NiMoO3, optimized geometry
# * formation energy from raw total energies: -269 meV/atom
# * N(E_F): 3.043 states/eV/cell
data_NiMoO3
_chemical_formula_sum 'Ni1 Mo1 O3'
_cell_length_a 3.645
_cell_length_b 3.645
_cell_length_c 3.645
_cell_angle_alpha 90.00
_cell_angle_beta 90.00
_cell_angle_gamma 90.00
_space_group_name_H-M_alt 'P m -3 m'
_space_group_IT_number 221
_space_group_name_Hall '-P 4 2 3'
loop_
_atom_site_label
_atom_site_fract_x
_atom_site_fract_y
_atom_site_fract_z
_atom_site_occupancy
Ni1 0.000 0.000 0.000 1
Mo1 0.500 0.500 0.500 1
O1 0.000 0.000 0.500 1

---

No. 14
# GGA-PBEsol ScMnHg3, optimized geometry
# * N(E_F): 6.165 states/eV/cell
# * total energy: -15.86 eV for the cell shown
data_ScMnHg3
_chemical_formula_sum 'Sc1 Mn1 Hg3'
_cell_length_a 4.924
_cell_length_b 4.924
_cell_length_c 4.924
_cell_angle_alpha 90.00
_cell_angle_beta 90.00
_cell_angle_gamma 90.00
_space_group_name_H-M_alt 'P m -3 m'
_space_group_IT_number 221
_space_group_name_Hall '-P 4 2 3'
loop_
_atom_site_label
_atom_site_fract_x
_atom_site_fract_y
_atom_site_fract_z
_atom_site_occupancy
Sc1 0.000 0.000 0.000 1
Mn1 0.500 0.500 0.500 1
Hg1 0.000 0.500 0.500 1

---

No. 15
# GGA-PBEsol YS2I, optimized geometry
# * energy relative to the lowest polymorph listed for this composition: 608 meV/atom
# * formation energy from raw total energies: -619 meV/atom
# * N(E_F): 16.495 states/eV/cell
data_YS2I
_chemical_formula_sum 'Y4 S8 I4'
_cell_length_a 6.984
_cell_length_b 6.984
_cell_length_c 6.984
_cell_angle_alpha 90.00
_cell_angle_beta 90.00
_cell_angle_gamma 90.00
_space_group_name_H-M_alt 'F m -3 m'
_space_group_IT_number 225
_space_group_name_Hall '-F 4 2 3'
loop_
_atom_site_label
_atom_site_fract_x
_atom_site_fract_y
_atom_site_fract_z
_atom_site_occupancy
Y1 0.000 0.000 0.000 1
S1 0.250 0.250 0.250 1
I1 0.000 0.000 0.500 1

---

No. 16
# GGA-PBEsol NaSc2Cr, optimized geometry
# * N(E_F): 13.804 states/eV/cell
# * total energy: -68.89 eV for the cell shown
data_NaSc2Cr
_chemical_formula_sum 'Na3 Sc6 Cr3'
_cell_length_a 3.1012
_cell_length_b 3.1012
_cell_length_c 31.7483
_cell_angle_alpha 90.00
_cell_angle_beta 90.00
_cell_angle_gamma 120.00
_space_group_name_H-M_alt 'R -3 m'
_space_group_IT_number 166
_space_group_name_Hall '-R 3 2"'
loop_
_atom_site_label
_atom_site_fract_x
_atom_site_fract_y
_atom_site_fract_z
_atom_site_occupancy
Na1 0.0000 0.0000 0.0000 1
Sc1 0.0000 0.0000 0.1029 1
Cr1 0.0000 0.0000 0.5000 1

---

No. 17
# GGA-PBEsol Ho5Bi2Pd, optimized geometry
# * N(E_F): 27.388 states/eV/cell
# * total energy: -179.88 eV for the cell shown
data_Ho5Bi2Pd
_chemical_formula_sum 'Ho20 Bi8 Pd4'
_cell_length_a 12.101
_cell_length_b 8.941
_cell_length_c 7.880
_cell_angle_alpha 90.00
_cell_angle_beta 90.00
_cell_angle_gamma 90.00
_space_group_name_H-M_alt 'P n m a'
_space_group_IT_number 62
_space_group_name_Hall '-P 2ac 2n'
loop_
_atom_site_label
_atom_site_fract_x
_atom_site_fract_y
_atom_site_fract_z
_atom_site_occupancy
Ho1 0.000 0.250 0.043 1
Ho2 0.066 0.049 0.680 1
Ho3 0.199 0.750 0.370 1
Ho4 0.212 0.250 0.337 1
Bi1 0.174 0.509 0.069 1
Pd1 0.015 0.750 0.584 1

---

No. 18
# GGA-PBEsol TlSeCl2, optimized geometry
# * energy relative to the lowest polymorph listed for this composition: 0 meV/atom
# * formation energy from raw total energies: -243 meV/atom
# * N(E_F): 1.005 states/eV/cell
data_TlSeCl2
_chemical_formula_sum 'Tl1 Se1 Cl2'
_cell_length_a 4.012
_cell_length_b 4.181
_cell_length_c 6.178
_cell_angle_alpha 90.00
_cell_angle_beta 102.08
_cell_angle_gamma 90.00
_space_group_name_H-M_alt 'P 1 2/m 1'
_space_group_IT_number 10
_space_group_name_Hall '-P 2y'
loop_
_atom_site_label
_atom_site_fract_x
_atom_site_fract_y
_atom_site_fract_z
_atom_site_occupancy
Tl1 0.000 0.000 0.000 1
Se1 0.500 0.000 0.500 1
Cl1 0.364 0.500 0.719 1

---

No. 19
# GGA-PBEsol Li2MgIn2, optimized geometry
# * N(E_F): 3.962 states/eV/cell
# * total energy: -25.29 eV for the cell shown
data_Li2MgIn2
_chemical_formula_sum 'Li4 Mg2 In4'
_cell_length_a 7.838
_cell_length_b 7.838
_cell_length_c 3.315
_cell_angle_alpha 90.00
_cell_angle_beta 90.00
_cell_angle_gamma 90.00
_space_group_name_H-M_alt 'P 4/m b m'
_space_group_IT_number 127
_space_group_name_Hall '-P 4 2ab'
loop_
_atom_site_label
_atom_site_fract_x
_atom_site_fract_y
_atom_site_fract_z
_atom_site_occupancy
Li1 0.166 0.334 0.000 1
Mg1 0.000 0.000 0.500 1
In1 0.134 0.634 0.500 1